Computed, not measured: an optimized crystal structure of ZrInHg3 at the PBE-GGA level of DFT.

The space group is Pm-3m (No. 221) and the conventional cell measures 5.625, 5.625 and 5.625 Å, with angles of 90.00, 90.00 and 90.00 degrees. The asymmetric unit holds Zr at (0.000, 0.000, 0.000), In at (0.500, 0.500, 0.500) and Hg at (0.000, 0.000, 0.500).

For the energy relative to the lowest polymorph listed for this composition, the calculation gives 0 meV per atom. As for the crystal system: cubic. The spin magnetization comes out at 0.3276 μB per atom. As for the formation energy from the elements: 528 meV per atom. The volume comes out at 35.6 Å³ per atom.

---

Computed, not measured: an optimized crystal structure of Zr4InHg at the PBE-GGA level of DFT.

The space group is C2/m (No. 12) and the conventional cell measures 10.890, 3.324 and 8.004 Å, with angles of 90.00, 111.50 and 90.00 degrees. The asymmetric unit holds Zr at (0.162, 0.000, 0.334), Zr at (0.166, 0.000, 0.830), In at (0.000, 0.500, 0.000) and Hg at (0.000, 0.500, 0.500).

For the energy relative to the lowest polymorph listed for this composition, the calculation gives 0 meV per atom. As for the crystal system: monoclinic. The spin magnetization comes out at 0.0000 μB per atom. As for the formation energy from the elements: -178 meV per atom. The volume comes out at 22.5 Å³ per atom.

---

Computed, not measured: an optimized crystal structure of ZrInHg2 at the PBE-GGA level of DFT.

The space group is Pmm2 (No. 25) and the conventional cell measures 3.263, 4.365 and 6.455 Å, with angles of 90.00, 90.00 and 90.00 degrees. The asymmetric unit holds Zr at (0.000, 0.000, 0.000), In at (0.500, 0.500, 0.762), Hg at (0.000, 0.000, 0.500) and Hg at (0.500, 0.500, 0.242).

As for the crystal system: orthorhombic. The spin magnetization comes out at 0.0000 μB per atom. As for the formation energy from the elements: -8 meV per atom. The volume comes out at 23.0 Å³ per atom.

---

Computed, not measured: an optimized crystal structure of Zr6In3Hg at the PBE-GGA level of DFT.

The space group is P2_1/c (No. 14) and the conventional cell measures 7.776, 7.375 and 10.902 Å, with angles of 90.00, 131.15 and 90.00 degrees. The asymmetric unit holds Zr at (0.054, 0.151, 0.313), Zr at (0.254, 0.175, 0.688), Zr at (0.408, 0.627, 0.856), In at (0.260, 0.675, 0.052), In at (0.500, 0.000, 0.000) and Hg at (0.000, 0.000, 0.000).

For the energy relative to the lowest polymorph listed for this composition, the calculation gives 186 meV per atom. As for the crystal system: monoclinic. The spin magnetization comes out at 0.0000 μB per atom. As for the formation energy from the elements: -19 meV per atom. The volume comes out at 23.5 Å³ per atom.

---

> Which of these has the lowest formation energy from the elements?

Zr4InHg

---

> Which value of formation energy from the elements does entry 2 give?

-178 meV per atom

---

> Look up the formation energy from the elements of the fourth one.

-19 meV per atom

---

Copy entry 2 word for word.
Computed, not measured: an optimized crystal structure of Zr4InHg at the PBE-GGA level of DFT.

The space group is C2/m (No. 12) and the conventional cell measures 10.890, 3.324 and 8.004 Å, with angles of 90.00, 111.50 and 90.00 degrees. The asymmetric unit holds Zr at (0.162, 0.000, 0.334), Zr at (0.166, 0.000, 0.830), In at (0.000, 0.500, 0.000) and Hg at (0.000, 0.500, 0.500).

For the energy relative to the lowest polymorph listed for this composition, the calculation gives 0 meV per atom. As for the crystal system: monoclinic. The spin magnetization comes out at 0.0000 μB per atom. As for the formation energy from the elements: -178 meV per atom. The volume comes out at 22.5 Å³ per atom.